[1]
Material: Pm2HoMg6
Method: DFT, GGA-PBE
State: relaxed

Its total magnetic moment is 0.00 Bohr magnetons per cell. The energy relative to the elements comes out at -0.09 eV/atom. The calculation puts the density of states at the Fermi level at 5.009 states/eV/f.u.

a = 9.1440 Å, b = 9.1440 Å, c = 3.3126 Å
α = 90.00°, β = 90.00°, γ = 120.00°
Closest atoms and distances in Å follow each position.
Space group P6/mmm (No. 191)
Inequivalent atoms, fractional coordinates:
Pm (0.3333, 0.6667, 0.0000) (multiplicity 2)  2 Pm 3.31, 12 Mg 3.48
Ho (0.0000, 0.0000, 0.0000) (multiplicity 1)  2 Ho 3.31, 12 Mg 3.44
Mg (0.0000, 0.3302, 0.5000) (multiplicity 6)  5 Mg 3.02-3.31

***

[2]
Material: PmHoMg
Method: DFT, GGA-PBE
State: relaxed

Its total magnetic moment is 0.00 Bohr magnetons per cell. The energy relative to the elements comes out at 0.02 eV/atom. The calculation puts the density of states at the Fermi level at 3.847 states/eV/f.u. The relative energy among the computed polymorphs is 0.0705 eV/atom.

a = 3.4462 Å, b = 5.4532 Å, c = 9.5202 Å
α = 90.00°, β = 90.18°, γ = 90.00°
Closest atoms and distances in Å follow each position.
Space group P-1 (No. 2)
Inequivalent atoms, fractional coordinates:
Pm (0.0040, 0.2500, 0.0792) (multiplicity 2)  4 Pm 3.12-3.45, 1 Mg 3.24
Ho (0.4990, 0.2499, 0.7372) (multiplicity 2)  2 Ho 3.45, 6 Mg 3.48-3.56, 6 Pm 3.66-3.69
Mg (0.0024, 0.7490, 0.5808) (multiplicity 2)  4 Mg 3.12-3.45, 1 Pm 3.24, 2 Ho 3.48-3.49

***

[3]
Material: Pm12Ho2Mg
Method: DFT, GGA-PBE
State: relaxed

Its total magnetic moment is 0.00 Bohr magnetons per cell. The energy relative to the elements comes out at 0.31 eV/atom. The calculation puts the density of states at the Fermi level at 17.085 states/eV/f.u.

a = 6.6117 Å, b = 6.6117 Å, c = 24.3140 Å
α = 90.00°, β = 90.00°, γ = 90.00°
Closest atoms and distances in Å follow each position.
Space group P4/nbm (No. 125, origin choice 2)
Inequivalent atoms, fractional coordinates:
Pm (0.0151, 0.5151, 0.0999) (multiplicity 8)  2 Mg 3.28-3.47, 6 Pm 3.31-3.43
Pm (0.0828, 0.5828, 0.5642) (multiplicity 8)  6 Pm 3.13-3.49
Pm (0.2500, 0.2500, 0.2031) (multiplicity 4)  1 Pm 3.04
Pm (0.2500, 0.2500, 0.3282) (multiplicity 4)  1 Pm 3.04
Ho (0.2500, 0.7500, 0.2448) (multiplicity 4)  4 Pm 3.46
Mg (0.2500, 0.7500, 0.0000) (multiplicity 2)  8 Pm 3.28-3.47

***

[4]
Material: PmHo4Mg7
Method: DFT, GGA-PBE
State: relaxed

Its total magnetic moment is 0.00 Bohr magnetons per cell. The energy relative to the elements comes out at 0.15 eV/atom. The calculation puts the density of states at the Fermi level at 12.836 states/eV/f.u.

a = 11.6122 Å, b = 5.6586 Å, c = 11.4981 Å
α = 90.00°, β = 116.13°, γ = 90.00°
Closest atoms and distances in Å follow each position.
Space group C2/m (No. 12)
Inequivalent atoms, fractional coordinates:
Pm (0.0000, 0.0000, 0.0000) (multiplicity 2)  2 Mg 2.83
Ho (0.0717, 0.5000, 0.3217) (multiplicity 4)  5 Mg 3.17-3.42
Ho (0.1652, 0.0000, 0.7775) (multiplicity 4)  7 Mg 3.10-3.41
Mg (0.0000, 0.5000, 0.0000) (multiplicity 2)  2 Pm 2.83, 2 Mg 2.84
Mg (0.1236, 0.0000, 0.4899) (multiplicity 4)  2 Mg 2.95-2.98, 2 Ho 3.12-3.23
Mg (0.2004, 0.5000, 0.9218) (multiplicity 4)  2 Mg 2.84-3.08, 2 Ho 3.10-3.17
Mg (0.2387, 0.5000, 0.6732) (multiplicity 4)  2 Mg 2.95-3.08

***

[5]
Material: Pm5HoMg
Method: DFT, GGA-PBE
State: relaxed

Its total magnetic moment is 0.00 Bohr magnetons per cell. The energy relative to the elements comes out at 0.11 eV/atom. The calculation puts the density of states at the Fermi level at 9.539 states/eV/f.u.

a = 8.8717 Å, b = 8.4038 Å, c = 12.5430 Å
α = 90.00°, β = 99.95°, γ = 90.00°
Closest atoms and distances in Å follow each position.
Space group C2/c (No. 15)
Inequivalent atoms, fractional coordinates:
Pm (0.0000, 0.1530, 0.2500) (multiplicity 4)  1 Ho 3.25, 4 Pm 3.45-3.48
Pm (0.1568, 0.1301, 0.5746) (multiplicity 8)  6 Pm 3.37-3.77, 2 Mg 3.47-3.51, 1 Ho 3.72
Pm (0.2137, 0.1651, 0.8647) (multiplicity 8)  1 Mg 3.13, 1 Ho 3.30, 2 Pm 3.45-3.48
Ho (0.0000, 0.4608, 0.7500) (multiplicity 4)  2 Mg 3.15, 3 Pm 3.25-3.30
Mg (0.0000, 0.5000, 0.0000) (multiplicity 4)  4 Pm 3.13-3.47, 2 Ho 3.15

***

[6]
Material: Pm2Ho3Mg3
Method: DFT, GGA-PBE
State: relaxed

Its total magnetic moment is 0.00 Bohr magnetons per cell. The energy relative to the elements comes out at -0.05 eV/atom. The calculation puts the density of states at the Fermi level at 9.382 states/eV/f.u.

a = 3.8058 Å, b = 5.4209 Å, c = 22.4659 Å
α = 90.00°, β = 90.00°, γ = 90.00°
Closest atoms and distances in Å follow each position.
Space group Immm (No. 71)
Inequivalent atoms, fractional coordinates:
Pm (0.0000, 0.0000, 0.2339) (multiplicity 4)  2 Mg 3.29, 4 Pm 3.39
Ho (0.0000, 0.0000, 0.0000) (multiplicity 2)  8 Mg 3.20-3.31
Ho (0.0000, 0.5000, 0.1224) (multiplicity 4)  6 Mg 3.32-3.34, 2 Pm 3.69
Mg (0.0000, 0.0000, 0.5000) (multiplicity 2)  8 Ho 3.31-3.34
Mg (0.0000, 0.5000, 0.3857) (multiplicity 4)  6 Ho 3.20-3.32, 2 Pm 3.29

***

[7]
Material: Pm2HoMg
Method: DFT, GGA-PBE
State: relaxed

Its total magnetic moment is 0.00 Bohr magnetons per cell. The energy relative to the elements comes out at 0.18 eV/atom. The calculation puts the density of states at the Fermi level at 4.017 states/eV/f.u. The relative energy among the computed polymorphs is 0.2110 eV/atom.

a = 3.4861 Å, b = 3.4861 Å, c = 37.2767 Å
α = 90.00°, β = 90.00°, γ = 120.00°
Closest atoms and distances in Å follow each position.
Space group R-3m (No. 166, hexagonal axes)
Inequivalent atoms, fractional coordinates:
Pm (0.0000, 0.0000, 0.0894) (multiplicity 6)  1 Mg 3.33, 6 Pm 3.49, 3 Ho 3.51
Ho (0.0000, 0.0000, 0.5000) (multiplicity 3)  6 Ho 3.49, 6 Pm 3.51
Mg (0.0000, 0.0000, 0.0000) (multiplicity 3)  2 Pm 3.33, 6 Mg 3.49

***

[8]
Material: PmHo3Mg4
Method: DFT, GGA-PBE
State: relaxed

Its total magnetic moment is 0.00 Bohr magnetons per cell. The energy relative to the elements comes out at -0.08 eV/atom. The calculation puts the density of states at the Fermi level at 9.604 states/eV/f.u.

a = 5.3682 Å, b = 5.3682 Å, c = 7.5952 Å
α = 90.00°, β = 90.00°, γ = 90.00°
Closest atoms and distances in Å follow each position.
Space group P4/mmm (No. 123)
Inequivalent atoms, fractional coordinates:
Pm (0.0000, 0.0000, 0.0000) (multiplicity 1)  8 Mg 3.30
Ho (0.0000, 0.0000, 0.5000) (multiplicity 1)  8 Mg 3.27
Ho (0.5000, 0.5000, 0.0000) (multiplicity 1)  8 Mg 3.30
Ho (0.5000, 0.5000, 0.5000) (multiplicity 1)  8 Mg 3.27
Mg (0.0000, 0.5000, 0.2531) (multiplicity 4)  6 Ho 3.27-3.30, 2 Pm 3.30

***

[9]
Material: Pm2Ho2Mg
Method: DFT, GGA-PBE
State: relaxed

Its total magnetic moment is 0.00 Bohr magnetons per cell. The energy relative to the elements comes out at 0.01 eV/atom. The calculation puts the density of states at the Fermi level at 7.785 states/eV/f.u. The relative energy among the computed polymorphs is 0.0000 eV/atom.

a = 3.5524 Å, b = 4.8846 Å, c = 17.7859 Å
α = 90.00°, β = 90.00°, γ = 90.00°
Closest atoms and distances in Å follow each position.
Space group Immm (No. 71)
Inequivalent atoms, fractional coordinates:
Pm (0.0000, 0.0000, 0.0960) (multiplicity 4)  3 Pm 3.41-3.55, 4 Mg 3.47, 5 Ho 3.57
Ho (0.0000, 0.0000, 0.2965) (multiplicity 4)  6 Ho 3.44-3.55, 5 Pm 3.57, 1 Mg 3.62
Mg (0.0000, 0.0000, 0.5000) (multiplicity 2)  8 Pm 3.47, 2 Mg 3.55, 2 Ho 3.62